A relaxed CaAs2BrN crystal. Source: Alexandria via LeMat-Bulk, functional PBE-GGA.

density of states at the Fermi level	3.0	states/eV/f.u.
distance to the lowest polymorph of the same formula	1232.7	meV/atom
volume	145.9	Å³/cell
calculated total energy	-14.78	eV per cell
E_form (uncorrected)	1.305	eV/atom
spin magnetization	0.493	μB/atom

Cell and atoms, written as CIF:
```
data_CaAs2BrN
_cell_length_a 5.1651
_cell_length_b 5.1651
_cell_length_c 5.4672
_cell_angle_alpha 90.00
_cell_angle_beta 90.00
_cell_angle_gamma 90.00
_space_group_name_H-M_alt 'P 4/m m m'
_space_group_IT_number 123
_space_group_name_Hall '-P 4 2'
loop_
_atom_site_label
_atom_site_fract_x
_atom_site_fract_y
_atom_site_fract_z
Ca1 0.0000 0.0000 0.0000
As1 0.0000 0.5000 0.5000
Br1 0.0000 0.0000 0.5000
N1 0.5000 0.5000 0.0000
```


A relaxed CaMo3 crystal. Source: Alexandria via LeMat-Bulk, functional PBE-GGA.

density of states at the Fermi level	3.0	states/eV/f.u.
distance to the lowest polymorph of the same formula	81.8	meV/atom
volume	78.1	Å³/cell
calculated total energy	-32.28	eV per cell
spin magnetization	0.000	μB/atom

Cell and atoms, written as CIF:
```
data_CaMo3
_cell_length_a 2.8720
_cell_length_b 4.3770
_cell_length_c 6.3023
_cell_angle_alpha 90.00
_cell_angle_beta 99.68
_cell_angle_gamma 90.00
_space_group_name_H-M_alt 'P 1 2/m 1'
_space_group_IT_number 10
loop_
_space_group_symop_operation_xyz
'x,y,z'
'-x,-y,-z'
'-x,y,-z'
'x,-y,z'
loop_
_atom_site_label
_atom_site_fract_x
_atom_site_fract_y
_atom_site_fract_z
Ca1 0.0000 0.0000 0.0000
Mo1 0.2312 0.5000 0.6848
Mo2 0.5000 0.0000 0.5000
```


A relaxed Tl2ZnNi crystal. Source: Alexandria via LeMat-Bulk, functional PBE-GGA.

density of states at the Fermi level	1.7	states/eV/f.u.
distance to the lowest polymorph of the same formula	0.0	meV/atom
volume	85.3	Å³/cell
calculated total energy	-11.25	eV per cell
spin magnetization	0.000	μB/atom

Cell and atoms, written as CIF:
```
data_Tl2ZnNi
_cell_length_a 3.2205
_cell_length_b 3.2205
_cell_length_c 8.2263
_cell_angle_alpha 90.00
_cell_angle_beta 90.00
_cell_angle_gamma 90.00
_space_group_name_H-M_alt 'P 4 m m'
_space_group_IT_number 99
loop_
_space_group_symop_operation_xyz
'x,y,z'
'-y,x,z'
'-x,-y,z'
'y,-x,z'
'-x,y,z'
'y,x,z'
'x,-y,z'
'-y,-x,z'
loop_
_atom_site_label
_atom_site_fract_x
_atom_site_fract_y
_atom_site_fract_z
Tl1 0.0000 0.0000 0.0000
Tl2 0.5000 0.5000 0.3608
Zn1 0.0000 0.0000 0.6390
Ni1 0.5000 0.5000 0.7598
```


A relaxed CdHg4F12 crystal. Source: Alexandria via LeMat-Bulk, functional PBE-GGA.

density of states at the Fermi level	5.7	states/eV/f.u.
volume	632.8	Å³/cell
calculated total energy	-96.63	eV per cell
E_form (uncorrected)	-1.396	eV/atom
spin magnetization	0.000	μB/atom

Cell and atoms, written as CIF:
```
data_CdHg4F12
_cell_length_a 12.0306
_cell_length_b 8.7346
_cell_length_c 8.2920
_cell_angle_alpha 90.00
_cell_angle_beta 133.43
_cell_angle_gamma 90.00
_space_group_name_H-M_alt 'C 1 2/m 1'
_space_group_IT_number 12
loop_
_space_group_symop_operation_xyz
'x,y,z'
'-x,-y,-z'
'-x,y,-z'
'x,-y,z'
'x+1/2,y+1/2,z'
'-x+1/2,-y+1/2,-z'
'-x+1/2,y+1/2,-z'
'x+1/2,-y+1/2,z'
loop_
_atom_site_label
_atom_site_fract_x
_atom_site_fract_y
_atom_site_fract_z
Cd1 0.0000 0.0000 0.0000
Hg1 0.2500 0.2500 0.0000
Hg2 0.2500 0.2500 0.5000
F1 0.0000 0.2222 0.1707
F2 0.1977 0.1969 0.6977
F3 0.2242 0.0000 0.0541
F4 0.2241 0.0000 0.3949
```


A relaxed Pr2EuS crystal. Source: Alexandria via LeMat-Bulk, functional PBE-GGA.

density of states at the Fermi level	4.0	states/eV/f.u.
volume	408.6	Å³/cell
calculated total energy	-82.63	eV per cell
E_form (uncorrected)	-0.896	eV/atom
spin magnetization	1.989	μB/atom

Cell and atoms, written as CIF:
```
data_Pr2EuS
_cell_length_a 3.9837
_cell_length_b 3.9837
_cell_length_c 29.7260
_cell_angle_alpha 90.00
_cell_angle_beta 90.00
_cell_angle_gamma 120.00
_space_group_name_H-M_alt 'R -3 m'
_space_group_IT_number 166
_space_group_name_Hall '-R 3 2"'
loop_
_atom_site_label
_atom_site_fract_x
_atom_site_fract_y
_atom_site_fract_z
Pr1 0.0000 0.0000 0.2234
Eu1 0.0000 0.0000 0.0000
S1 0.0000 0.0000 0.5000
```


A relaxed Ac2MgIn6Co crystal. Source: Alexandria via LeMat-Bulk, functional PBE-GGA.

density of states at the Fermi level	6.3	states/eV/f.u.
volume	265.0	Å³/cell
calculated total energy	-36.28	eV per cell
spin magnetization	0.000	μB/atom

Cell and atoms, written as CIF:
```
data_Ac2MgIn6Co
_cell_length_a 7.0011
_cell_length_b 7.0011
_cell_length_c 6.2431
_cell_angle_alpha 90.00
_cell_angle_beta 90.00
_cell_angle_gamma 120.00
_space_group_name_H-M_alt 'P -3 m 1'
_space_group_IT_number 164
_space_group_name_Hall '-P 3 2"'
loop_
_atom_site_label
_atom_site_fract_x
_atom_site_fract_y
_atom_site_fract_z
Ac1 0.3333 0.6667 0.1773
Mg1 0.0000 0.0000 0.0000
In1 0.1880 0.3761 0.6930
Co1 0.0000 0.0000 0.5000
```


A relaxed Ba3Cu2O6 crystal. Source: Alexandria via LeMat-Bulk, functional PBE-GGA.

density of states at the Fermi level	4.8	states/eV/f.u.
volume	347.7	Å³/cell
calculated total energy	-123.38	eV per cell
E_form (uncorrected)	-1.634	eV/atom
spin magnetization	0.197	μB/atom

Cell and atoms, written as CIF:
```
data_Ba3Cu2O6
_cell_length_a 4.0010
_cell_length_b 4.0010
_cell_length_c 21.7218
_cell_angle_alpha 90.00
_cell_angle_beta 90.00
_cell_angle_gamma 90.00
_space_group_name_H-M_alt 'I 4/m m m'
_space_group_IT_number 139
_space_group_name_Hall '-I 4 2'
loop_
_atom_site_label
_atom_site_fract_x
_atom_site_fract_y
_atom_site_fract_z
Ba1 0.0000 0.0000 0.0000
Ba2 0.0000 0.0000 0.1801
Cu1 0.0000 0.0000 0.3976
O1 0.0000 0.0000 0.3059
O2 0.0000 0.5000 0.0879
```


A relaxed Sr2TaCoRe crystal. Source: Alexandria via LeMat-Bulk, functional PBE-GGA.

density of states at the Fermi level	14.3	states/eV/f.u.
volume	148.3	Å³/cell
calculated total energy	-24.11	eV per cell
spin magnetization	0.000	μB/atom

Cell and atoms, written as CIF:
```
data_Sr2TaCoRe
_cell_length_a 5.9062
_cell_length_b 5.9062
_cell_length_c 4.2503
_cell_angle_alpha 90.00
_cell_angle_beta 90.00
_cell_angle_gamma 90.00
_space_group_name_H-M_alt 'P 4/m m m'
_space_group_IT_number 123
_space_group_name_Hall '-P 4 2'
loop_
_atom_site_label
_atom_site_fract_x
_atom_site_fract_y
_atom_site_fract_z
Sr1 0.0000 0.5000 0.0000
Ta1 0.0000 0.0000 0.0000
Co1 0.0000 0.0000 0.5000
Re1 0.5000 0.5000 0.5000
```